[1]
Ac4TlSi3 | GGA-PBE | relaxed

## Properties
* formation energy from raw total energies: -0.48 eV per atom

a = 4.267 Å, b = 4.806 Å, c = 11.945 Å
α = 90.00°, β = 90.00°, γ = 90.00°
Space group Pmm2 (No. 25)
Asymmetric unit:
Ac 0.000 0.000 0.000
Ac 0.000 0.500 0.483
Ac 0.500 0.000 0.700
Ac 0.500 0.500 0.213
Tl 0.000 0.500 0.781
Si 0.000 0.000 0.285
Si 0.500 0.000 0.413
Si 0.500 0.500 0.935

=====

[2]
AlBr2O | GGA-PBE | relaxed

## Properties
* formation energy from raw total energies: 0.11 eV per atom
* ΔE to the lowest computed polymorph: 117.3 kJ per mole of atoms

a = 3.6793 Å, b = 3.6793 Å, c = 22.3660 Å
α = 90.00°, β = 90.00°, γ = 120.00°
Space group R-3m (No. 166, hexagonal axes)
Asymmetric unit:
Al 0.0000 0.0000 0.0000
Br 0.0000 0.0000 0.4089
O 0.0000 0.0000 0.5000

=====

[3]
Cs2SnI6Cl | GGA-PBE | relaxed

## Properties
* formation energy from raw total energies: -0.77 eV per atom

a = 8.944 Å, b = 8.944 Å, c = 11.690 Å
α = 90.00°, β = 90.00°, γ = 90.00°
Space group I4/mmm (No. 139)
Asymmetric unit:
Cs 0.000 0.500 0.250
Sn 0.000 0.000 0.000
I 0.000 0.000 0.253
I 0.230 0.230 0.000
Cl 0.000 0.000 0.500

=====

[4]
BaTc2Br | GGA-PBE | relaxed

## Properties
* formation energy from raw total energies: 1.07 eV per atom
* ΔE to the lowest computed polymorph: 90.3 kJ per mole of atoms

a = 7.071 Å, b = 7.071 Å, c = 7.071 Å
α = 90.00°, β = 90.00°, γ = 90.00°
Space group F-43m (No. 216)
Asymmetric unit:
Ba 0.000 0.000 0.000
Tc 0.000 0.000 0.500
Tc 0.250 0.250 0.750
Br 0.250 0.250 0.250

=====

[5]
MgAg2SeCl | GGA-PBE | relaxed

## Properties
* formation energy from raw total energies: 0.14 eV per atom

a = 4.994 Å, b = 4.994 Å, c = 4.950 Å
α = 90.00°, β = 90.00°, γ = 90.00°
Space group P4/mmm (No. 123)
Asymmetric unit:
Mg 0.000 0.000 0.000
Ag 0.000 0.500 0.500
Se 0.500 0.500 0.000
Cl 0.000 0.000 0.500

=====

> formation energy from raw total energies of number 2 (AlBr2O)?

0.11 eV per atom

=====

> Which value of formation energy from raw total energies does entry 2 give?

0.11 eV per atom